Material: CsYW
Method: DFT, PBE
State: optimized geometry

Computed properties:
Crystal system: cubic

Structure (POSCAR):
```
CsYW
1.0
0.000 3.562 3.562
3.562 0.000 3.562
3.562 3.562 0.000
Cs Y W
1 1 1
Direct
0.000 0.000 0.000 Cs
0.250 0.250 0.250 Y
0.750 0.750 0.750 W
```

Material: DyCuGeTeSe2
Method: DFT, PBE
State: optimized geometry

Computed properties:
Crystal system: orthorhombic

Structure (POSCAR):
```
DyCuGeTeSe2
1.0
1.990 -6.704 0.000
1.990 6.704 0.000
0.000 0.000 11.059
Dy Cu Ge Te Se
2 2 2 2 4
Direct
0.000 0.000 0.000 Dy
0.000 0.000 0.500 Dy
0.471 0.529 0.750 Cu
0.529 0.471 0.250 Cu
0.199 0.801 0.250 Ge
0.801 0.199 0.750 Ge
0.103 0.897 0.750 Te
0.897 0.103 0.250 Te
0.358 0.642 0.574 Se
0.358 0.642 0.926 Se
0.642 0.358 0.074 Se
0.642 0.358 0.426 Se
```

Material: DyHoFe2B2C2
Method: DFT, PBE
State: optimized geometry

Computed properties:
Crystal system: tetragonal

Structure (POSCAR):
```
DyHoFe2B2C2
1.0
3.518 0.000 0.000
0.000 3.518 0.000
0.000 0.000 7.897
Dy Ho Fe B C
1 1 2 2 2
Direct
0.000 0.000 0.000 Dy
0.500 0.500 0.676 Ho
0.000 0.500 0.338 Fe
0.500 0.000 0.338 Fe
0.000 0.000 0.504 B
0.500 0.500 0.172 B
0.000 0.000 0.692 C
0.500 0.500 0.984 C
```

Calculated total magnetization (μB per cell), listed in the same order as above: 2.15 0.00 3.50
Calculated VASP energy (eV per atom), listed in the same order as above: -4.2857 -4.5829 -7.5733